DFT (PBE with a Hubbard U) results for a relaxed FeAgF4 crystal.

Cell and atoms, written as POSCAR:
```
FeAgF4
1.0
5.1868 0.0000 0.0000
0.0000 5.9799 0.0000
0.0000 0.0000 5.5327
Fe F Ag
2 8 2
direct
0.0620 0.5001 0.5000 Fe
0.5620 0.4999 0.0000 Fe
0.8121 0.6045 0.7501 F
0.3121 0.3955 0.7499 F
0.4176 0.7924 0.0000 F
0.3121 0.3955 0.2501 F
0.9176 0.2076 0.5000 F
0.8121 0.6045 0.2499 F
0.7064 0.2075 0.0000 F
0.2064 0.7925 0.5000 F
0.0619 0.9998 0.0000 Ag
0.5619 0.0002 0.5000 Ag
```

Properties
Crystal system: orthorhombic
Magnetization: 0.83 μB per atom
DFT total energy: -55.5 eV for the cell shown
Fermi-level density of states: 0.0 states/eV/cell